Rb4TmNp3O12: relaxed, PBE.

a = 8.631 Å, b = 8.631 Å, c = 8.631 Å
α = 90.00°, β = 90.00°, γ = 90.00°
Space group Im-3m (No. 229)
Asymmetric unit:
Rb  0.250  0.250  0.250 x8
Tm  0.000  0.000  0.000 x2
Np  0.000  0.000  0.500 x6
O  0.000  0.000  0.265 x12
O  0.000  0.250  0.500 x12

Values from the calculation:
Formation energy without anion corrections = -2703.9 meV per atom